a:
SnPbS2Cl: relaxed, GGA-PBE.

Structure (POSCAR):
```
SnPbS2Cl
1.0
5.747 0.000 0.000
0.000 5.747 0.000
0.000 0.000 5.368
Pb S Sn Cl
1 2 1 1
direct
0.000 0.000 0.000 Pb
0.000 0.500 0.000 S
0.500 0.000 0.000 S
0.500 0.500 0.500 Sn
0.000 0.000 0.500 Cl
```

Output
SG ... P4/mmm
M_tot ... 0.00 μB per formula unit
DOS at the Fermi energy ... 0.686 states/eV per atom

---

b:
SnPbS2Cl: relaxed, GGA-PBE.

Structure (POSCAR):
```
SnPbS2Cl
1.0
5.841 0.000 0.000
0.000 5.841 0.000
0.000 0.000 5.324
Pb S Sn Cl
1 2 1 1
direct
0.500 0.500 0.500 Pb
0.000 0.500 0.000 S
0.500 0.000 0.000 S
0.000 0.000 0.000 Sn
0.000 0.000 0.500 Cl
```

Output
SG ... P4/mmm
M_tot ... 0.00 μB per formula unit
DOS at the Fermi energy ... 0.556 states/eV per atom

---

Most stable of them? b.

---

a:
TaPbS2Cl: relaxed, GGA-PBE.

Structure (POSCAR):
```
TaPbS2Cl
1.0
-3.086 1.769 3.894
-3.566 -3.716 -1.137
2.301 -3.213 3.283
Pb S Cl Ta
1 2 1 1
direct
0.000 0.000 0.000 Pb
0.000 0.500 0.000 S
0.500 0.000 0.000 S
0.000 0.000 0.500 Cl
0.500 0.500 0.500 Ta
```

Output
SG ... P4/mmm
M_tot ... 0.11 μB per formula unit
DOS at the Fermi energy ... 2.174 states/eV per atom

---

b:
TaPbS2Cl: relaxed, GGA-PBE.

Structure (POSCAR):
```
TaPbS2Cl
1.0
-0.177 -1.432 -4.640
4.618 -1.485 0.282
-1.496 -4.383 1.410
Pb S Cl Ta
1 2 1 1
direct
0.500 0.500 0.500 Pb
0.000 0.500 0.000 S
0.500 0.000 0.000 S
0.000 0.000 0.500 Cl
0.000 0.000 0.000 Ta
```

Output
SG ... P4/mmm
M_tot ... 0.00 μB per formula unit
DOS at the Fermi energy ... 0.453 states/eV per atom

---

Most stable of them? b.

---

a:
TcPbSCl2: relaxed, GGA-PBE.

Structure (POSCAR):
```
TcPbSCl2
1.0
-3.191 0.962 -3.997
-4.098 -0.336 3.191
0.344 5.292 0.999
Pb S Tc Cl
1 1 1 2
direct
0.000 0.000 0.000 Pb
0.000 0.000 0.500 S
0.500 0.500 0.500 Tc
0.000 0.500 0.000 Cl
0.500 0.000 0.000 Cl
```

Output
SG ... P4/mmm
M_tot ... 4.78 μB per formula unit
DOS at the Fermi energy ... 0.710 states/eV per atom

---

b:
TcPbSCl2: relaxed, GGA-PBE.

Structure (POSCAR):
```
TcPbSCl2
1.0
5.174 0.000 0.000
0.000 5.174 0.000
0.000 0.000 4.493
Pb S Tc Cl
1 1 1 2
direct
0.500 0.500 0.500 Pb
0.000 0.000 0.500 S
0.000 0.000 0.000 Tc
0.000 0.500 0.000 Cl
0.500 0.000 0.000 Cl
```

Output
SG ... P4/mmm
M_tot ... 0.00 μB per formula unit
DOS at the Fermi energy ... 0.896 states/eV per atom

---

Most stable of them? b.

---

a:
TePbSCl2: relaxed, GGA-PBE.

Structure (POSCAR):
```
TePbSCl2
1.0
-1.254 -1.152 5.119
-0.297 -5.239 -1.252
5.147 -0.563 1.134
Pb S Te Cl
1 1 1 2
direct
0.500 0.500 0.500 Pb
0.000 0.000 0.500 S
0.000 0.000 0.000 Te
0.000 0.500 0.000 Cl
0.500 0.000 0.000 Cl
```

Output
SG ... P4/mmm
M_tot ... 0.00 μB per formula unit
DOS at the Fermi energy ... 0.942 states/eV per atom

---

b:
TePbSCl2: relaxed, GGA-PBE.

Structure (POSCAR):
```
TePbSCl2
1.0
5.475 0.000 0.000
0.000 5.475 0.000
0.000 0.000 5.621
Pb S Te Cl
1 1 1 2
direct
0.000 0.000 0.000 Pb
0.000 0.000 0.500 S
0.500 0.500 0.500 Te
0.000 0.500 0.000 Cl
0.500 0.000 0.000 Cl
```

Output
SG ... P4/mmm
M_tot ... 2.57 μB per formula unit
DOS at the Fermi energy ... 0.809 states/eV per atom

---

Most stable of them? a.

---

a:
TePbS2Cl: relaxed, GGA-PBE.

Structure (POSCAR):
```
TePbS2Cl
1.0
-0.523 4.218 1.404
-7.951 -0.749 -0.710
1.086 -3.286 10.273
Te Pb S Cl
2 2 4 2
direct
0.250 0.554 0.350 Te
0.750 0.446 0.650 Te
0.250 0.751 0.970 Pb
0.750 0.249 0.030 Pb
0.750 0.409 0.366 S
0.250 0.591 0.634 S
0.750 0.516 0.878 S
0.250 0.484 0.122 S
0.250 0.097 0.874 Cl
0.750 0.903 0.126 Cl
```

Output
SG ... P2_1/m
M_tot ... 0.00 μB per formula unit
DOS at the Fermi energy ... 0.136 states/eV per atom

---

b:
TePbS2Cl: relaxed, GGA-PBE.

Structure (POSCAR):
```
TePbS2Cl
1.0
5.377 0.000 0.000
0.000 5.377 0.000
0.000 0.000 5.326
Pb S Te Cl
1 2 1 1
direct
0.500 0.500 0.500 Pb
0.000 0.500 0.000 S
0.500 0.000 0.000 S
0.000 0.000 0.000 Te
0.000 0.000 0.500 Cl
```

Output
SG ... P4/mmm
M_tot ... 0.00 μB per formula unit
DOS at the Fermi energy ... 0.212 states/eV per atom

---

c:
TePbS2Cl: relaxed, GGA-PBE.

Structure (POSCAR):
```
TePbS2Cl
1.0
-2.125 1.442 4.700
-3.304 -4.211 -0.202
3.529 -2.888 2.482
Pb S Te Cl
1 2 1 1
direct
0.000 0.000 0.000 Pb
0.000 0.500 0.000 S
0.500 0.000 0.000 S
0.500 0.500 0.500 Te
0.000 0.000 0.500 Cl
```

Output
SG ... P4/mmm
M_tot ... 0.00 μB per formula unit
DOS at the Fermi energy ... 0.889 states/eV per atom

---

Most stable of them? a.

---

a:
TiPbSCl2: relaxed, GGA-PBE.

Structure (POSCAR):
```
TiPbSCl2
1.0
5.202 0.000 0.000
0.000 5.202 0.000
0.000 0.000 5.178
Pb S Cl Ti
1 1 2 1
direct
0.500 0.500 0.500 Pb
0.000 0.000 0.500 S
0.000 0.500 0.000 Cl
0.500 0.000 0.000 Cl
0.000 0.000 0.000 Ti
```

Output
SG ... P4/mmm
M_tot ... 1.87 μB per formula unit
DOS at the Fermi energy ... 1.051 states/eV per atom

---

b:
TiPbSCl2: relaxed, GGA-PBE.

Structure (POSCAR):
```
TiPbSCl2
1.0
5.425 0.000 0.000
0.000 5.425 0.000
0.000 0.000 5.407
Pb S Cl Ti
1 1 2 1
direct
0.000 0.000 0.000 Pb
0.000 0.000 0.500 S
0.000 0.500 0.000 Cl
0.500 0.000 0.000 Cl
0.500 0.500 0.500 Ti
```

Output
SG ... P4/mmm
M_tot ... 2.37 μB per formula unit
DOS at the Fermi energy ... 0.807 states/eV per atom

---

Most stable of them? a.

---

a:
YPbS2Cl: relaxed, GGA-PBE.

Structure (POSCAR):
```
YPbS2Cl
1.0
5.279 0.000 0.000
0.000 5.279 0.000
0.000 0.000 5.168
Pb Y S Cl
1 1 2 1
direct
0.000 0.000 0.000 Pb
0.500 0.500 0.500 Y
0.000 0.500 0.000 S
0.500 0.000 0.000 S
0.000 0.000 0.500 Cl
```

Output
SG ... P4/mmm
M_tot ... 0.48 μB per formula unit
DOS at the Fermi energy ... 0.708 states/eV per atom

---

b:
YPbS2Cl: relaxed, GGA-PBE.

Structure (POSCAR):
```
YPbS2Cl
1.0
5.299 0.000 0.000
0.000 5.299 0.000
0.000 0.000 5.091
Pb Y S Cl
1 1 2 1
direct
0.500 0.500 0.500 Pb
0.000 0.000 0.000 Y
0.000 0.500 0.000 S
0.500 0.000 0.000 S
0.000 0.000 0.500 Cl
```

Output
SG ... P4/mmm
M_tot ... 0.00 μB per formula unit
DOS at the Fermi energy ... 0.015 states/eV per atom

---

Most stable of them? b.

---

a:
SbPb2Cl8: relaxed, GGA-PBE.

Structure (POSCAR):
```
SbPb2Cl8
1.0
-3.649 1.344 -5.320
3.213 -3.648 -6.194
-4.477 -6.281 -1.584
Sb Pb Cl
1 2 8
direct
0.000 0.000 0.000 Sb
0.740 0.656 0.656 Pb
0.260 0.344 0.344 Pb
0.743 0.948 0.323 Cl
0.257 0.677 0.052 Cl
0.766 0.884 0.884 Cl
0.234 0.116 0.116 Cl
0.743 0.323 0.948 Cl
0.257 0.052 0.677 Cl
0.183 0.577 0.577 Cl
0.817 0.423 0.423 Cl
```

Output
SG ... C2/m
M_tot ... 0.00 μB per formula unit
DOS at the Fermi energy ... 0.393 states/eV per atom

---

b:
SbPb2Cl8: relaxed, GGA-PBE.

Structure (POSCAR):
```
SbPb2Cl8
1.0
-1.967 -3.622 -0.137
7.126 -3.861 -0.257
1.893 0.914 10.734
Sb Pb Cl
1 2 8
direct
0.500 0.000 0.000 Sb
0.835 0.392 0.670 Pb
0.165 0.608 0.330 Pb
0.403 0.525 0.806 Cl
0.616 0.946 0.232 Cl
0.761 0.686 0.521 Cl
0.008 0.205 0.016 Cl
0.239 0.314 0.479 Cl
0.384 0.054 0.768 Cl
0.597 0.475 0.194 Cl
0.992 0.795 0.984 Cl
```

Output
SG ... C2/m
M_tot ... 0.00 μB per formula unit
DOS at the Fermi energy ... 0.847 states/eV per atom

---

Most stable of them? a.